# 1
## Cr2P3O12 (GGA-PBEsol)

Data for a geometry-optimized Cr2P3O12 structure.

Output
The offset from the most stable computed form is 0.0024 eV/atom. As for the symmetry: P2_1/c (14). The calculation puts the uncorrected formation energy at -1.98 eV per atom. As for the raw total energy: -0.2906 hartree per atom.

Cell: 8.254 8.419 14.091 Å, 90.00 125.28 90.00°
Element x y z (fractional)
Cr  0.127  0.034  0.380
Cr  0.127  0.466  0.880
Cr  0.370  0.033  0.116
Cr  0.370  0.467  0.616
Cr  0.630  0.533  0.384
Cr  0.630  0.967  0.884
Cr  0.873  0.534  0.120
Cr  0.873  0.966  0.620
P  0.033  0.614  0.642
P  0.033  0.886  0.142
P  0.251  0.117  0.647
P  0.251  0.383  0.147
P  0.461  0.749  0.992
P  0.461  0.751  0.492
P  0.539  0.249  0.508
P  0.539  0.251  0.008
P  0.749  0.617  0.853
P  0.749  0.883  0.353
P  0.967  0.114  0.858
P  0.967  0.386  0.358
O  0.028  0.716  0.181
O  0.028  0.784  0.681
O  0.093  0.004  0.241
O  0.093  0.496  0.741
O  0.099  0.083  0.674
O  0.099  0.417  0.174
O  0.165  0.071  0.521
O  0.165  0.429  0.021
O  0.179  0.073  0.960
O  0.179  0.427  0.460
O  0.183  0.604  0.611
O  0.183  0.896  0.111
O  0.267  0.656  0.936
O  0.267  0.844  0.436
O  0.291  0.202  0.164
O  0.291  0.298  0.664
O  0.359  0.140  0.433
O  0.359  0.360  0.933
O  0.440  0.019  0.728
O  0.440  0.481  0.228
O  0.463  0.675  0.393
O  0.463  0.825  0.893
O  0.469  0.629  0.575
O  0.469  0.871  0.075
O  0.531  0.129  0.925
O  0.531  0.371  0.425
O  0.537  0.175  0.107
O  0.537  0.325  0.607
O  0.560  0.519  0.772
O  0.560  0.981  0.272
O  0.641  0.640  0.067
O  0.641  0.860  0.567
O  0.709  0.702  0.336
O  0.709  0.798  0.836
O  0.733  0.156  0.564
O  0.733  0.344  0.064
O  0.817  0.104  0.889
O  0.817  0.396  0.389
O  0.821  0.573  0.540
O  0.821  0.927  0.040
O  0.835  0.571  0.979
O  0.835  0.929  0.479
O  0.901  0.583  0.826
O  0.901  0.917  0.326
O  0.907  0.504  0.259
O  0.907  0.996  0.759
O  0.972  0.216  0.319
O  0.972  0.284  0.819


# 2
## Ta3InSi (GGA-PBEsol)

Data for a geometry-optimized Ta3InSi structure.

Output
As for the symmetry: Pm-3m (221). The calculation puts the uncorrected formation energy at 2.35 eV per atom. As for the raw total energy: -0.2545 hartree per atom.

Cell: 4.910 4.910 4.910 Å, 90.00 90.00 90.00°
Element x y z (fractional)
Ta  0.000  0.000  0.500
Ta  0.000  0.500  0.000
Ta  0.500  0.000  0.000
In  0.000  0.000  0.000
Si  0.500  0.500  0.500


# 3
## MnBr3O (GGA-PBEsol)

Data for a geometry-optimized MnBr3O structure.

Output
As for the symmetry: Pm-3m (221). The calculation puts the uncorrected formation energy at 0.49 eV per atom. As for the raw total energy: -0.1335 hartree per atom.

Cell: 4.676 4.676 4.676 Å, 90.00 90.00 90.00°
Element x y z (fractional)
Mn  0.000  0.000  0.000
Br  0.000  0.500  0.500
Br  0.500  0.000  0.500
Br  0.500  0.500  0.000
O  0.500  0.500  0.500


# 4
## Ba4CaRe (GGA-PBEsol)

Data for a geometry-optimized Ba4CaRe structure.

Output
As for the symmetry: F-43m (216). The calculation puts the formation energy at 1.240 eV/atom. As for the raw total energy: -0.1018 hartree per atom.

Cell: 6.957 6.957 6.957 Å, 60.00 60.00 60.00°
Element x y z (fractional)
Ba  0.377  0.377  0.377
Ba  0.377  0.377  0.869
Ba  0.377  0.869  0.377
Ba  0.869  0.377  0.377
Ca  0.000  0.000  0.000
Re  0.750  0.750  0.750


# 5
## Sc3TcPt (GGA-PBEsol)

Data for a geometry-optimized Sc3TcPt structure.

Output
As for the symmetry: Pm-3m (221). The calculation puts the formation energy at 0.187 eV/atom. As for the raw total energy: -0.2727 hartree per atom.

Cell: 4.771 4.771 4.771 Å, 90.00 90.00 90.00°
Element x y z (fractional)
Sc  0.000  0.000  0.500
Sc  0.000  0.500  0.000
Sc  0.500  0.000  0.000
Tc  0.000  0.000  0.000
Pt  0.500  0.500  0.500


# 6
## CaMg2Al (GGA-PBEsol)

Data for a geometry-optimized CaMg2Al structure.

Output
As for the symmetry: F-43m (216). The calculation puts the formation energy at -0.104 eV/atom. As for the raw total energy: -0.0926 hartree per atom.

Cell: 5.052 5.052 5.052 Å, 60.00 60.00 60.00°
Element x y z (fractional)
Ca  0.000  0.000  0.000
Mg  0.250  0.250  0.250
Mg  0.500  0.500  0.500
Al  0.750  0.750  0.750


# 7
## Li2AgAu (GGA-PBEsol)

Data for a geometry-optimized Li2AgAu structure.

Output
The offset from the most stable computed form is 0.0306 eV/atom. As for the symmetry: F-43m (216). The calculation puts the formation energy at -0.332 eV/atom. As for the raw total energy: -0.1148 hartree per atom.

Cell: 4.463 4.463 4.463 Å, 60.00 60.00 60.00°
Element x y z (fractional)
Li  0.000  0.000  0.000
Li  0.250  0.250  0.250
Ag  0.750  0.750  0.750
Au  0.500  0.500  0.500


# 8
## BaSn3As (GGA-PBEsol)

Data for a geometry-optimized BaSn3As structure.

Output
As for the symmetry: Pm-3m (221). The calculation puts the formation energy at -0.010 eV/atom. As for the raw total energy: -0.1476 hartree per atom.

Cell: 5.441 5.441 5.441 Å, 90.00 90.00 90.00°
Element x y z (fractional)
Ba  0.000  0.000  0.000
Sn  0.000  0.500  0.500
Sn  0.500  0.000  0.500
Sn  0.500  0.500  0.000
As  0.500  0.500  0.500


# 9
## Hf2CoGe2 (GGA-PBEsol)

Data for a geometry-optimized Hf2CoGe2 structure.

Output
As for the symmetry: P4/mbm (127). The calculation puts the formation energy at -0.650 eV/atom. As for the raw total energy: -0.3077 hartree per atom.

Cell: 6.199 6.199 4.152 Å, 90.00 90.00 90.00°
Element x y z (fractional)
Hf  0.169  0.331  0.000
Hf  0.331  0.831  0.000
Hf  0.669  0.169  0.000
Hf  0.831  0.669  0.000
Co  0.000  0.000  0.500
Co  0.500  0.500  0.500
Ge  0.143  0.643  0.500
Ge  0.357  0.143  0.500
Ge  0.643  0.857  0.500
Ge  0.857  0.357  0.500


# 10
## Ga2NiRu (GGA-PBEsol)

Data for a geometry-optimized Ga2NiRu structure.

Output
As for the symmetry: Fm-3m (225). The calculation puts the formation energy at -0.360 eV/atom. As for the raw total energy: -0.2246 hartree per atom.

Cell: 4.155 4.155 4.155 Å, 60.00 60.00 60.00°
Element x y z (fractional)
Ga  0.250  0.250  0.250
Ga  0.750  0.750  0.750
Ni  0.000  0.000  0.000
Ru  0.500  0.500  0.500


# 11
## BeZnFeBi2 (GGA-PBEsol)

Data for a geometry-optimized BeZnFeBi2 structure.

Output
As for the symmetry: P4/mmm (123). The calculation puts the formation energy at 0.566 eV/atom. As for the raw total energy: -0.1491 hartree per atom.

Cell: 4.980 4.980 4.191 Å, 90.00 90.00 90.00°
Element x y z (fractional)
Be  0.000  0.000  0.000
Zn  0.500  0.500  0.000
Fe  0.000  0.000  0.500
Bi  0.000  0.500  0.500
Bi  0.500  0.000  0.500


# 12
## CsNb2H (GGA-PBEsol)

Data for a geometry-optimized CsNb2H structure.

Output
As for the symmetry: Fd-3m (227). As for the raw total energy: -0.1999 hartree per atom.

Cell: 6.116 6.116 6.116 Å, 60.00 60.00 60.00°
Element x y z (fractional)
Cs  0.125  0.125  0.125
Cs  0.875  0.875  0.875
Nb  0.000  0.500  0.500
Nb  0.500  0.000  0.500
Nb  0.500  0.500  0.000
Nb  0.500  0.500  0.500
H  0.375  0.375  0.375
H  0.625  0.625  0.625


# 13
## LiCd2Ag (GGA-PBEsol)

Data for a geometry-optimized LiCd2Ag structure.

Output
The offset from the most stable computed form is 0.0000 eV/atom. As for the symmetry: Fm-3m (225). The calculation puts the formation energy at -0.223 eV/atom. As for the raw total energy: -0.0787 hartree per atom.

Cell: 4.640 4.640 4.640 Å, 60.00 60.00 60.00°
Element x y z (fractional)
Li  0.000  0.000  0.000
Cd  0.250  0.250  0.250
Cd  0.750  0.750  0.750
Ag  0.500  0.500  0.500


# 14
## Sr2ZrSc (GGA-PBEsol)

Data for a geometry-optimized Sr2ZrSc structure.

Output
As for the symmetry: Cmmm (65). The calculation puts the formation energy at 0.568 eV/atom. As for the raw total energy: -0.1572 hartree per atom.

Cell: 3.378 3.378 11.786 Å, 90.00 90.00 109.52°
Element x y z (fractional)
Sr  0.000  0.000  0.245
Sr  0.000  0.000  0.755
Zr  0.500  0.500  0.000
Sc  0.500  0.500  0.500


# 15
## LiNiOsRu2 (GGA-PBEsol)

Data for a geometry-optimized LiNiOsRu2 structure.

Output
As for the symmetry: P4/mmm (123). The calculation puts the formation energy at 1.463 eV/atom. As for the raw total energy: -0.2453 hartree per atom.

Cell: 4.346 4.346 3.712 Å, 90.00 90.00 90.00°
Element x y z (fractional)
Li  0.000  0.000  0.000
Ni  0.000  0.000  0.500
Os  0.500  0.500  0.000
Ru  0.000  0.500  0.500
Ru  0.500  0.000  0.500


# 16
## BaAl2Hg2 (GGA-PBEsol)

Data for a geometry-optimized BaAl2Hg2 structure.

Output
As for the symmetry: I4/mmm (139). The calculation puts the formation energy at -0.374 eV/atom. As for the raw total energy: -0.0980 hartree per atom.

Cell: 6.746 6.746 6.746 Å, 140.68 140.68 56.83°
Element x y z (fractional)
Ba  0.000  0.000  0.000
Al  0.250  0.750  0.500
Al  0.750  0.250  0.500
Hg  0.376  0.376  0.000
Hg  0.624  0.624  0.000


# 17
## Pt2Pb (GGA-PBEsol)

Data for a geometry-optimized Pt2Pb structure.

Output
As for the symmetry: I4/mmm (139). The calculation puts the formation energy at 0.101 eV/atom. As for the raw total energy: -0.2159 hartree per atom.

Cell: 4.867 4.867 4.867 Å, 136.25 136.25 63.59°
Element x y z (fractional)
Pt  0.171  0.171  0.000
Pt  0.829  0.829  0.000
Pb  0.500  0.500  0.000


# 18
## AlAg3 (GGA-PBEsol)

Data for a geometry-optimized AlAg3 structure.

Output
As for the symmetry: Imm2 (44). The calculation puts the formation energy at -0.088 eV/atom. As for the raw total energy: -0.1321 hartree per atom.

Cell: 5.389 5.389 5.389 Å, 148.26 62.64 127.53°
Element x y z (fractional)
Al  0.000  0.000  0.000
Ag  0.116  0.376  0.740
Ag  0.491  0.991  0.500
Ag  0.636  0.376  0.260


# 19
## Ta2MoW (GGA-PBEsol)

Data for a geometry-optimized Ta2MoW structure.

Output
As for the symmetry: Cmmm (65). The calculation puts the formation energy at -0.083 eV/atom. As for the raw total energy: -0.4686 hartree per atom.

Cell: 2.795 2.795 8.946 Å, 90.00 90.00 110.28°
Element x y z (fractional)
Ta  0.000  0.000  0.248
Ta  0.000  0.000  0.752
Mo  0.500  0.500  0.000
W  0.500  0.500  0.500


# 20
## Mg2TlCd (GGA-PBEsol)

Data for a geometry-optimized Mg2TlCd structure.

Output
As for the symmetry: P4/mmm (123). The calculation puts the formation energy at -0.089 eV/atom. As for the raw total energy: -0.0700 hartree per atom.

Cell: 3.388 3.388 7.729 Å, 90.00 90.00 90.00°
Element x y z (fractional)
Mg  0.000  0.000  0.235
Mg  0.000  0.000  0.765
Tl  0.500  0.500  0.500
Cd  0.500  0.500  0.000


# 21
## CdCo2As (GGA-PBEsol)

Data for a geometry-optimized CdCo2As structure.

Output
The offset from the most stable computed form is 0.3089 eV/atom. As for the symmetry: I-4m2 (119). The calculation puts the formation energy at 0.337 eV/atom. As for the raw total energy: -0.1877 hartree per atom.

Cell: 4.842 4.842 4.842 Å, 135.68 135.68 64.48°
Element x y z (fractional)
Cd  0.000  0.000  0.000
Co  0.500  0.500  0.000
Co  0.750  0.250  0.500
As  0.250  0.750  0.500


# 22
## Ta3TlIr (GGA-PBEsol)

Data for a geometry-optimized Ta3TlIr structure.

Output
As for the symmetry: Pm-3m (221). The calculation puts the formation energy at 1.023 eV/atom. As for the raw total energy: -0.3307 hartree per atom.

Cell: 4.830 4.830 4.830 Å, 90.00 90.00 90.00°
Element x y z (fractional)
Ta  0.000  0.000  0.500
Ta  0.000  0.500  0.000
Ta  0.500  0.000  0.000
Tl  0.500  0.500  0.500
Ir  0.000  0.000  0.000


# 23
## SrTaFe2S (GGA-PBEsol)

Data for a geometry-optimized SrTaFe2S structure.

Output
As for the symmetry: P4/mmm (123). The calculation puts the uncorrected formation energy at 0.41 eV per atom. As for the raw total energy: -0.2546 hartree per atom.

Cell: 4.623 4.623 4.843 Å, 90.00 90.00 90.00°
Element x y z (fractional)
Sr  0.000  0.000  0.000
Ta  0.500  0.500  0.500
Fe  0.000  0.500  0.500
Fe  0.500  0.000  0.500
S  0.500  0.500  0.000


# 24
## Al2MoCl (GGA-PBEsol)

Data for a geometry-optimized Al2MoCl structure.

Output
The offset from the most stable computed form is 0.2025 eV/atom. As for the symmetry: Immm (71). The calculation puts the uncorrected formation energy at 0.25 eV per atom. As for the raw total energy: -0.1925 hartree per atom.

Cell: 5.266 5.266 5.266 Å, 146.85 128.28 62.83°
Element x y z (fractional)
Al  0.247  0.247  0.000
Al  0.753  0.753  0.000
Mo  0.000  0.500  0.500
Cl  0.500  0.000  0.500


# 25
## Si2MoAs (GGA-PBEsol)

Data for a geometry-optimized Si2MoAs structure.

Output
As for the symmetry: P4/mmm (123). The calculation puts the uncorrected formation energy at 0.05 eV per atom. As for the raw total energy: -0.2589 hartree per atom.

Cell: 3.328 3.328 5.212 Å, 90.00 90.00 90.00°
Element x y z (fractional)
Si  0.000  0.000  0.245
Si  0.000  0.000  0.755
Mo  0.500  0.500  0.000
As  0.500  0.500  0.500


# 26
## CaMgTc2 (GGA-PBEsol)

Data for a geometry-optimized CaMgTc2 structure.

Output
As for the symmetry: Imm2 (44). The calculation puts the formation energy at 0.419 eV/atom. As for the raw total energy: -0.2270 hartree per atom.

Cell: 5.588 5.588 5.588 Å, 146.10 127.70 63.80°
Element x y z (fractional)
Ca  0.000  0.000  0.000
Mg  0.285  0.785  0.500
Tc  0.550  0.550  0.000
Tc  0.728  0.228  0.500


For the records above, the corresponding DOS(E_F) values read 0.361, 1.673, 0.464, 1.505, 0.670, 0.281, 0.345, 0.840, 0.566, 0.444, 0.668, 1.245, 0.255, 1.556, 1.621, 0.339, 0.452, 0.280, 0.764, 0.423, 1.319, 1.053, 1.342, 0.629, 0.416, 0.917 states/eV/atom.